{
  "formula": "Dy2ZnS4",
  "functional": "GGA-PBE",
  "state": "optimized geometry",
  "dft_energy_ev_per_atom": -5.5551,
  "spacegroup": "Pnma (62)",
  "cell": [[-10.687, 0.361, -8.253], [2.461, -6.647, -3.477], [-3.329, -3.410, 4.162]],
  "species": ["Zn", "Zn", "Zn", "Zn", "S", "S", "S", "S", "S", "S", "S", "S", "S", "S", "S", "S", "S", "S", "S", "S", "Dy", "Dy", "Dy", "Dy", "Dy", "Dy", "Dy", "Dy"],
  "fractional_positions": [[0.092, 0.250, 0.090], [0.908, 0.750, 0.910], [0.408, 0.750, 0.590], [0.592, 0.250, 0.410], [0.569, 0.750, 0.743], [0.069, 0.750, 0.757], [0.931, 0.250, 0.243], [0.831, 0.986, 0.744], [0.669, 0.486, 0.244], [0.831, 0.514, 0.744], [0.331, 0.514, 0.756], [0.590, 0.250, 0.774], [0.169, 0.014, 0.256], [0.331, 0.986, 0.756], [0.910, 0.750, 0.274], [0.669, 0.014, 0.244], [0.169, 0.486, 0.256], [0.090, 0.250, 0.726], [0.431, 0.250, 0.257], [0.410, 0.750, 0.226], [0.266, 0.250, 0.505], [0.000, 0.500, 0.500], [0.500, 0.500, 0.000], [0.234, 0.750, 0.005], [0.766, 0.250, 0.995], [0.734, 0.750, 0.495], [0.500, 0.000, 0.000], [0.000, 0.000, 0.500]]
}

---

{
  "formula": "DySb2",
  "functional": "GGA-PBE",
  "state": "optimized geometry",
  "dft_energy_ev_per_atom": -4.4847,
  "spacegroup": "C222 (21)",
  "cell": [[-2.496, -2.324, -1.042], [0.484, -1.894, -3.035], [3.455, -5.495, 3.980]],
  "species": ["Sb", "Sb", "Dy"],
  "fractional_positions": [[0.500, 0.500, 0.675], [0.000, 0.500, 0.325], [0.000, 0.000, 0.000]]
}

---

{
  "formula": "Dy5Sb3",
  "functional": "GGA-PBE",
  "state": "optimized geometry",
  "dft_energy_ev_per_atom": -5.3478,
  "spacegroup": "P6_3/mcm (193)",
  "cell": [[-3.131, 0.940, -8.368], [5.226, -7.005, 2.080], [-5.092, -3.344, 1.530]],
  "species": ["Dy", "Dy", "Dy", "Dy", "Dy", "Dy", "Dy", "Dy", "Dy", "Dy", "Sb", "Sb", "Sb", "Sb", "Sb", "Sb"],
  "fractional_positions": [[0.333, 0.667, 0.500], [0.753, 0.000, 0.750], [0.333, 0.667, 0.000], [0.247, 0.247, 0.750], [0.753, 0.753, 0.250], [0.247, 0.000, 0.250], [0.000, 0.247, 0.250], [0.667, 0.333, 0.000], [0.667, 0.333, 0.500], [0.000, 0.753, 0.750], [0.000, 0.611, 0.250], [0.389, 0.000, 0.750], [0.000, 0.389, 0.750], [0.389, 0.389, 0.250], [0.611, 0.000, 0.250], [0.611, 0.611, 0.750]]
}

---

{
  "formula": "DySb2",
  "functional": "GGA-PBE",
  "state": "optimized geometry",
  "dft_energy_ev_per_atom": -4.4032,
  "spacegroup": "Fd-3m (227)",
  "cell": [[0.000, 4.417, 4.417], [4.417, 0.000, 4.417], [4.417, 4.417, 0.000]],
  "species": ["Dy", "Dy", "Sb", "Sb", "Sb", "Sb"],
  "fractional_positions": [[0.000, 0.000, 0.000], [0.250, 0.250, 0.250], [0.625, 0.125, 0.625], [0.625, 0.625, 0.125], [0.125, 0.625, 0.625], [0.625, 0.625, 0.625]]
}